[1]
Computed, not measured: a relaxed Ba2NaPd2 crystal at the PBE level of DFT.

Values from the calculation:
D(E_F)	0.645	states/eV per atom
DFT formation energy	-0.25	eV/atom
SG	No. 139
ΔE to the lowest computed polymorph	0.147	eV per atom

Structure (extended XYZ):
```
5
Lattice="-3.086 3.086 4.461 3.086 -3.086 4.461 3.086 3.086 -4.461" Properties=species:S:1:pos:R:3 pbc="T T T"
Ba 3.086 0.000 2.230
Ba 0.000 3.086 2.230
Na 0.000 0.000 0.000
Pd 0.000 0.000 3.109
Pd 0.000 0.000 5.813
```

***

[2]
Computed, not measured: a relaxed Ba8Na2Pd3 crystal at the PBE level of DFT.

Values from the calculation:
D(E_F)	0.679	states/eV per atom
DFT formation energy	-0.24	eV/atom
SG	No. 12

Structure (extended XYZ):
```
13
Lattice="9.713 -4.623 0.000 9.713 4.623 0.000 -2.454 0.000 7.692" Properties=species:S:1:pos:R:3 pbc="T T T"
Ba -0.365 0.000 6.925
Ba 6.446 2.359 4.638
Ba 10.526 2.359 3.054
Ba 7.545 0.000 0.491
Ba 9.427 0.000 7.201
Ba 6.446 -2.359 4.638
Ba 10.526 -2.359 3.054
Ba 17.337 0.000 0.767
Na 4.037 0.000 2.651
Na 12.934 0.000 5.041
Pd -1.227 0.000 3.846
Pd 9.713 2.272 0.000
Pd 9.713 -2.272 0.000
```